1.
VASP calculation (PBE-GGA) on Pr9DyTl2 after structural relaxation.

Geometry as POSCAR:
```
Pr9DyTl2
1.0
5.049 0.000 0.000
0.000 5.049 0.000
0.000 0.000 15.523
Pr Dy Tl
9 1 2
direct
0.000 0.000 0.000
0.000 0.000 0.337
0.000 0.000 0.663
0.000 0.500 0.172
0.000 0.500 0.500
0.000 0.500 0.828
0.500 0.000 0.172
0.500 0.000 0.500
0.500 0.000 0.828
0.500 0.500 0.000
0.500 0.500 0.339
0.500 0.500 0.661
```

**Symmetry**: P4/mmm (123)
**Total magnetic moment**: 0.00 μB per formula unit
**Formation energy**: -149 kJ/mol of formula units



2.
VASP calculation (PBE-GGA) on AgAs2I6 after structural relaxation.

Geometry as POSCAR:
```
AgAs2I6
1.0
3.918 2.262 7.833
-3.918 2.262 7.833
0.000 -4.524 7.833
Ag As I
1 2 6
direct
0.000 0.000 0.000
0.611 0.611 0.611
0.725 0.725 0.725
0.074 0.772 0.392
0.236 0.612 0.916
0.392 0.074 0.772
0.612 0.916 0.236
0.772 0.392 0.074
0.916 0.236 0.612
```

**Symmetry**: R3 (146)
**Total magnetic moment**: 0.00 μB per formula unit
**E_form (uncorrected)**: -0.062 eV/atom



3.
VASP calculation (PBE-GGA) on CaAcSnAs after structural relaxation.

Geometry as POSCAR:
```
CaAcSnAs
1.0
0.000 3.902 3.902
3.902 0.000 3.902
3.902 3.902 0.000
Ca Ac Sn As
1 1 1 1
direct
0.000 0.000 0.000
0.500 0.500 0.500
0.750 0.750 0.750
0.250 0.250 0.250
```

**Symmetry**: F-43m (216)
**Total magnetic moment**: 0.00 μB per formula unit
**Formation energy**: -265 kJ/mol of formula units



4.
VASP calculation (PBE-GGA) on MgReIr after structural relaxation.

Geometry as POSCAR:
```
MgReIr
1.0
1.417 -7.326 0.000
1.417 7.326 0.000
0.000 0.000 4.502
Mg Re Ir
2 2 2
direct
0.221 0.779 0.750
0.779 0.221 0.250
0.453 0.547 0.250
0.547 0.453 0.750
0.107 0.893 0.250
0.893 0.107 0.750
```

**Symmetry**: Cmcm (63)
**Total magnetic moment**: 0.00 μB per formula unit
**Relative energy among the computed polymorphs**: 146 meV/atom
**Formation energy**: -8 kJ/mol of formula units



Question: Which formula does entry 4 have?
Answer: MgReIr